No. 1
This record from Alexandria describes a relaxed PmSm3Dy2S6 crystal. The functional is PBE-GGA.

Cell: 6.8937 6.8937 6.8954 Å, 99.56 99.56 120.17°
With the nearest neighbours (Å) after each atom.
Sites, in units of the cell vectors:
Pm: 0.0000 0.0000 0.0000  6 S 2.82-2.84
Sm: 0.1632 0.8368 0.5000  6 S 2.82-2.85
Sm: 0.5000 0.5000 0.5000  6 S 2.80-2.85
Sm: 0.8368 0.1632 0.5000  6 S 2.82-2.85
Dy: 0.3337 0.6663 0.0000  6 S 2.76-2.78
Dy: 0.6663 0.3337 0.0000  6 S 2.76-2.78
S: 0.0816 0.4222 0.2450  2 Dy 2.77-2.78, 3 Sm 2.82-2.85, 1 Pm 2.84
S: 0.2599 0.2599 0.7578  2 Dy 2.76, 3 Sm 2.80-2.84, 1 Pm 2.82
S: 0.4222 0.0816 0.2450  2 Dy 2.77-2.78, 3 Sm 2.82-2.85, 1 Pm 2.84
S: 0.5778 0.9184 0.7550  2 Dy 2.77-2.78, 3 Sm 2.82-2.85, 1 Pm 2.84
S: 0.7401 0.7401 0.2422  2 Dy 2.76, 3 Sm 2.80-2.84, 1 Pm 2.82
S: 0.9184 0.5778 0.7550  2 Dy 2.77-2.78, 3 Sm 2.82-2.85, 1 Pm 2.84

## Properties
symmetry	No. 12
spin magnetization	0.000	μB per atom
formation energy without anion corrections	-2018.8	meV/atom
D(E_F)	5.02	states/eV per cell

=====

No. 2
This record from Alexandria describes a relaxed PmSmDy2S6 crystal. The functional is PBE-GGA.

Cell: 7.4099 7.4099 7.4099 Å, 56.53 56.53 56.53°
With the nearest neighbours (Å) after each atom.
Sites, in units of the cell vectors:
Pm: 0.0000 0.0000 0.0000  6 S 2.79-2.88
Sm: 0.4990 0.4990 0.4990  6 S 2.78-2.86
Dy: 0.2951 0.2951 0.2951  6 S 2.72-2.78
Dy: 0.7957 0.7957 0.7957  6 S 2.72-2.78
S: 0.0887 0.6835 0.4095  2 Dy 2.72-2.78, 1 Pm 2.79, 1 Sm 2.86
S: 0.1864 0.5888 0.9067  2 Dy 2.72-2.78, 1 Sm 2.78, 1 Pm 2.88
S: 0.4095 0.0887 0.6835  2 Dy 2.72-2.78, 1 Pm 2.79, 1 Sm 2.86
S: 0.5888 0.9067 0.1864  2 Dy 2.72-2.78, 1 Sm 2.78, 1 Pm 2.88
S: 0.6835 0.4095 0.0887  2 Dy 2.72-2.78, 1 Pm 2.79, 1 Sm 2.86
S: 0.9067 0.1864 0.5888  2 Dy 2.72-2.78, 1 Sm 2.78, 1 Pm 2.88

## Properties
symmetry	No. 146
spin magnetization	0.000	μB per atom
formation energy without anion corrections	-2045.1	meV/atom
D(E_F)	0.00	states/eV per cell

=====

No. 3
This record from Alexandria describes a relaxed PmSm2Dy3S6 crystal. The functional is PBE-GGA.

Cell: 6.8476 6.8476 6.8917 Å, 99.50 99.50 120.18°
With the nearest neighbours (Å) after each atom.
Sites, in units of the cell vectors:
Pm: 0.0000 0.0000 0.0000  6 S 2.85
Sm: 0.3334 0.6666 0.0000  6 S 2.84
Sm: 0.6666 0.3334 0.0000  6 S 2.84
Dy: 0.1661 0.8339 0.5000  6 S 2.76
Dy: 0.5000 0.5000 0.5000  6 S 2.75-2.76
Dy: 0.8339 0.1661 0.5000  6 S 2.76
S: 0.0870 0.4216 0.2609  3 Dy 2.76, 2 Sm 2.84, 1 Pm 2.85
S: 0.2477 0.2477 0.7395  3 Dy 2.75-2.76, 2 Sm 2.84, 1 Pm 2.85
S: 0.4216 0.0870 0.2609  3 Dy 2.76, 2 Sm 2.84, 1 Pm 2.85
S: 0.5784 0.9130 0.7391  3 Dy 2.76, 2 Sm 2.84, 1 Pm 2.85
S: 0.7523 0.7523 0.2605  3 Dy 2.75-2.76, 2 Sm 2.84, 1 Pm 2.85
S: 0.9130 0.5784 0.7391  3 Dy 2.76, 2 Sm 2.84, 1 Pm 2.85

## Properties
symmetry	No. 12
spin magnetization	0.000	μB per atom
formation energy without anion corrections	-2016.1	meV/atom
D(E_F)	5.20	states/eV per cell

=====

No. 4
This record from Alexandria describes a relaxed Pm3Sm4DyS8 crystal. The functional is PBE-GGA.

Cell: 8.0119 8.0119 8.0119 Å, 60.03 60.03 60.03°
With the nearest neighbours (Å) after each atom.
Sites, in units of the cell vectors:
Pm: 0.0000 0.5000 0.5000  6 S 2.84
Pm: 0.5000 0.0000 0.5000  6 S 2.84
Pm: 0.5000 0.5000 0.0000  6 S 2.84
Sm: 0.0000 0.0000 0.5000  6 S 2.82
Sm: 0.0000 0.5000 0.0000  6 S 2.82
Sm: 0.5000 0.0000 0.0000  6 S 2.82
Sm: 0.5000 0.5000 0.5000  6 S 2.88
Dy: 0.0000 0.0000 0.0000  6 S 2.79
S: 0.2446 0.7537 0.7537  1 Dy 2.79, 3 Sm 2.82-2.88, 2 Pm 2.84
S: 0.2463 0.2463 0.7554  1 Dy 2.79, 3 Sm 2.82-2.88, 2 Pm 2.84
S: 0.2463 0.7554 0.2463  1 Dy 2.79, 3 Sm 2.82-2.88, 2 Pm 2.84
S: 0.2492 0.2492 0.2492  3 Sm 2.82, 3 Pm 2.84
S: 0.7508 0.7508 0.7508  3 Sm 2.82, 3 Pm 2.84
S: 0.7537 0.2446 0.7537  1 Dy 2.79, 3 Sm 2.82-2.88, 2 Pm 2.84
S: 0.7537 0.7537 0.2446  1 Dy 2.79, 3 Sm 2.82-2.88, 2 Pm 2.84
S: 0.7554 0.2463 0.2463  1 Dy 2.79, 3 Sm 2.82-2.88, 2 Pm 2.84

## Properties
symmetry	No. 166
spin magnetization	0.000	μB per atom
formation energy without anion corrections	-2017.7	meV/atom
D(E_F)	9.14	states/eV per cell

=====

No. 5
This record from Alexandria describes a relaxed PmSm3Dy4S8 crystal. The functional is PBE-GGA.

Cell: 7.9531 7.9531 7.9531 Å, 59.50 59.50 59.50°
With the nearest neighbours (Å) after each atom.
Sites, in units of the cell vectors:
Pm: 0.0000 0.0000 0.0000  6 S 2.85
Sm: 0.0000 0.5000 0.5000  6 S 2.84
Sm: 0.5000 0.0000 0.5000  6 S 2.84
Sm: 0.5000 0.5000 0.0000  6 S 2.84
Dy: 0.0000 0.0000 0.5000  6 S 2.76
Dy: 0.0000 0.5000 0.0000  6 S 2.76
Dy: 0.5000 0.0000 0.0000  6 S 2.76
Dy: 0.5000 0.5000 0.5000  6 S 2.75
S: 0.2464 0.2464 0.2464  3 Dy 2.76, 3 Sm 2.84
S: 0.2471 0.7457 0.7457  3 Dy 2.75-2.76, 2 Sm 2.84, 1 Pm 2.85
S: 0.2543 0.2543 0.7529  3 Dy 2.75-2.76, 2 Sm 2.84, 1 Pm 2.85
S: 0.2543 0.7529 0.2543  3 Dy 2.75-2.76, 2 Sm 2.84, 1 Pm 2.85
S: 0.7457 0.2471 0.7457  3 Dy 2.75-2.76, 2 Sm 2.84, 1 Pm 2.85
S: 0.7457 0.7457 0.2471  3 Dy 2.75-2.76, 2 Sm 2.84, 1 Pm 2.85
S: 0.7529 0.2543 0.2543  3 Dy 2.75-2.76, 2 Sm 2.84, 1 Pm 2.85
S: 0.7536 0.7536 0.7536  3 Dy 2.76, 3 Sm 2.84

## Properties
symmetry	No. 166
spin magnetization	0.000	μB per atom
formation energy without anion corrections	-2008.7	meV/atom
D(E_F)	8.30	states/eV per cell

=====

No. 6
This record from Alexandria describes a relaxed PmSm2DyS6 crystal. The functional is PBE-GGA.

Cell: 7.4576 7.4576 7.4576 Å, 56.51 56.51 56.51°
With the nearest neighbours (Å) after each atom.
Sites, in units of the cell vectors:
Pm: 0.0000 0.0000 0.0000  6 S 2.78-2.87
Sm: 0.2928 0.2928 0.2928  6 S 2.78-2.86
Sm: 0.7951 0.7951 0.7951  6 S 2.77-2.86
Dy: 0.4968 0.4968 0.4968  6 S 2.73-2.79
S: 0.1032 0.6916 0.3983  2 Sm 2.77-2.86, 1 Pm 2.78, 1 Dy 2.79
S: 0.2032 0.6004 0.8871  1 Dy 2.73, 2 Sm 2.78-2.86, 1 Pm 2.87
S: 0.3983 0.1032 0.6916  2 Sm 2.77-2.86, 1 Pm 2.78, 1 Dy 2.79
S: 0.6004 0.8871 0.2032  1 Dy 2.73, 2 Sm 2.78-2.86, 1 Pm 2.87
S: 0.6916 0.3983 0.1032  2 Sm 2.77-2.86, 1 Pm 2.78, 1 Dy 2.79
S: 0.8871 0.2032 0.6004  1 Dy 2.73, 2 Sm 2.78-2.86, 1 Pm 2.87

## Properties
symmetry	No. 146
spin magnetization	0.000	μB per atom
formation energy without anion corrections	-2035.0	meV/atom
D(E_F)	0.00	states/eV per cell

=====

No. 7
This record from Alexandria describes a relaxed PmSm4Dy3S8 crystal. The functional is PBE-GGA.

Cell: 7.9618 7.9618 7.9618 Å, 59.81 59.81 59.81°
With the nearest neighbours (Å) after each atom.
Sites, in units of the cell vectors:
Pm: 0.0000 0.0000 0.0000  6 S 2.82
Sm: 0.0000 0.0000 0.5000  6 S 2.85
Sm: 0.0000 0.5000 0.0000  6 S 2.85
Sm: 0.5000 0.0000 0.0000  6 S 2.85
Sm: 0.5000 0.5000 0.5000  6 S 2.80
Dy: 0.0000 0.5000 0.5000  6 S 2.77
Dy: 0.5000 0.0000 0.5000  6 S 2.77
Dy: 0.5000 0.5000 0.0000  6 S 2.77
S: 0.2507 0.2507 0.7420  2 Dy 2.77, 3 Sm 2.80-2.85, 1 Pm 2.82
S: 0.2507 0.7420 0.2507  2 Dy 2.77, 3 Sm 2.80-2.85, 1 Pm 2.82
S: 0.2535 0.2535 0.2535  3 Dy 2.77, 3 Sm 2.85
S: 0.2580 0.7493 0.7493  2 Dy 2.77, 3 Sm 2.80-2.85, 1 Pm 2.82
S: 0.7420 0.2507 0.2507  2 Dy 2.77, 3 Sm 2.80-2.85, 1 Pm 2.82
S: 0.7465 0.7465 0.7465  3 Dy 2.77, 3 Sm 2.85
S: 0.7493 0.2580 0.7493  2 Dy 2.77, 3 Sm 2.80-2.85, 1 Pm 2.82
S: 0.7493 0.7493 0.2580  2 Dy 2.77, 3 Sm 2.80-2.85, 1 Pm 2.82

## Properties
symmetry	No. 166
spin magnetization	0.000	μB per atom
formation energy without anion corrections	-2008.8	meV/atom
D(E_F)	8.75	states/eV per cell

=====

No. 8
This record from Alexandria describes a relaxed Pm2SmDyS4 crystal. The functional is PBE-GGA.

Cell: 6.9316 3.9563 6.9598 Å, 90.00 109.00 90.00°
With the nearest neighbours (Å) after each atom.
Sites, in units of the cell vectors:
Pm: 0.0000 0.0000 0.0000  6 S 2.87-2.88
Pm: 0.5000 0.5000 0.0000  6 S 2.83-2.84
Sm: 0.0000 0.5000 0.5000  6 S 2.82
Dy: 0.5000 0.0000 0.5000  6 S 2.78
S: 0.2527 0.0000 0.7441  1 Dy 2.78, 2 Sm 2.82, 3 Pm 2.83-2.88
S: 0.2578 0.5000 0.2593  2 Dy 2.78, 1 Sm 2.82, 3 Pm 2.84-2.87
S: 0.7422 0.5000 0.7407  2 Dy 2.78, 1 Sm 2.82, 3 Pm 2.84-2.87
S: 0.7473 0.0000 0.2559  1 Dy 2.78, 2 Sm 2.82, 3 Pm 2.83-2.88

## Properties
symmetry	No. 10
spin magnetization	0.000	μB per atom
formation energy without anion corrections	-2019.2	meV/atom
D(E_F)	4.78	states/eV per cell